This record from the Alexandria database describes a relaxed La4Dy3Sc2 crystal. The functional is GGA-PBE.

Unit cell a=12.8711 b=3.6266 c=14.1653 alpha=90.00 beta=116.09 gamma=90.00
Space group C2/m (No. 12)
Symmetry-distinct sites (fractional):
1 La 0.2213 0.0000 0.3735 x4
2 La 0.2229 0.5000 0.1127 x4
3 Dy 0.0000 0.0000 0.5000 x2
4 Dy 0.0082 0.0000 0.8860 x4
5 Sc 0.0441 0.5000 0.7076 x4

Values from the calculation:
VASP energy ... -5.037 eV/atom
ΔE_f ... 0.09 eV per atom

---

This record from the Alexandria database describes a relaxed La4DySc crystal. The functional is GGA-PBE.

Unit cell a=5.1906 b=15.0624 c=5.1877 alpha=90.00 beta=90.00 gamma=90.00
Space group Cmmm (No. 65)
Symmetry-distinct sites (fractional):
1 La 0.0000 0.1621 0.0000 x4
2 La 0.0000 0.3360 0.5000 x4
3 Dy 0.0000 0.5000 0.0000 x2
4 Sc 0.0000 0.0000 0.5000 x2

Values from the calculation:
Excess energy over the best structure of this formula in the dataset ... 0 meV per atom
VASP energy ... -5.055 eV/atom
ΔE_f ... 0.05 eV per atom

---

This record from the Alexandria database describes a relaxed LaDy6Sc2 crystal. The functional is GGA-PBE.

Unit cell a=15.2113 b=3.5143 c=10.5342 alpha=90.00 beta=103.72 gamma=90.00
Space group C2/m (No. 12)
Symmetry-distinct sites (fractional):
1 La 0.0000 0.0000 0.0000 x2
2 Dy 0.0026 0.0000 0.3343 x4
3 Dy 0.1698 0.5000 0.5589 x4
4 Dy 0.1701 0.5000 0.8851 x4
5 Sc 0.1679 0.5000 0.2250 x4

Values from the calculation:
Excess energy over the best structure of this formula in the dataset ... 0 meV per atom
VASP energy ... -4.978 eV/atom
ΔE_f ... 0.04 eV per atom

---

This record from the Alexandria database describes a relaxed LaDy6Sc2 crystal. The functional is GGA-PBE.

Unit cell a=12.1406 b=14.5219 c=6.4363 alpha=90.00 beta=102.05 gamma=90.00
Space group C2/c (No. 15)
Symmetry-distinct sites (fractional):
1 La 0.0000 0.0932 0.2500 x4
2 Dy 0.0497 0.3119 0.0195 x8
3 Dy 0.1581 0.1044 0.8081 x8
4 Dy 0.2358 0.3230 0.6869 x8
5 Sc 0.1266 0.4869 0.3604 x8

Values from the calculation:
Excess energy over the best structure of this formula in the dataset ... 66 meV per atom
VASP energy ... -4.912 eV/atom
ΔE_f ... 0.11 eV per atom

---

This record from the Alexandria database describes a relaxed La6Dy3Sc crystal. The functional is GGA-PBE.

Unit cell a=9.9785 b=9.9785 c=12.1303 alpha=90.00 beta=90.00 gamma=120.00
Space group R3 (No. 146, hexagonal axes)
Symmetry-distinct sites (fractional):
1 La 0.0001 0.3381 0.0000 x9
2 La 0.0004 0.6628 0.8325 x9
3 Dy 0.0000 0.0000 0.1697 x3
4 Dy 0.0000 0.0000 0.6608 x3
5 Dy 0.0000 0.0000 0.9154 x3
6 Sc 0.0000 0.0000 0.4155 x3

Values from the calculation:
VASP energy ... -4.793 eV/atom
ΔE_f ... 0.18 eV per atom

---

This record from the Alexandria database describes a relaxed LaDy7Sc2 crystal. The functional is GGA-PBE.

Unit cell a=8.7968 b=15.1448 c=5.6140 alpha=90.00 beta=90.00 gamma=90.00
Space group Cmmm (No. 65)
Symmetry-distinct sites (fractional):
1 La 0.0000 0.0000 0.0000 x2
2 Dy 0.0000 0.2442 0.0000 x4
3 Dy 0.0000 0.5000 0.5000 x2
4 Dy 0.1815 0.1230 0.5000 x8
5 Sc 0.0000 0.2968 0.5000 x4

Values from the calculation:
Excess energy over the best structure of this formula in the dataset ... 604 meV per atom
VASP energy ... -4.334 eV/atom
ΔE_f ... 0.65 eV per atom

---

This record from the Alexandria database describes a relaxed La4Dy3Sc crystal. The functional is GGA-PBE.

Unit cell a=25.2819 b=3.4471 c=6.1355 alpha=90.00 beta=94.23 gamma=90.00
Space group C2/m (No. 12)
Symmetry-distinct sites (fractional):
1 La 0.1019 0.0000 0.2165 x4
2 La 0.2182 0.5000 0.2411 x4
3 Dy 0.0000 0.0000 0.5000 x2
4 Dy 0.1418 0.0000 0.7250 x4
5 Sc 0.0000 0.5000 0.0000 x2

Values from the calculation:
VASP energy ... -4.742 eV/atom
ΔE_f ... 0.24 eV per atom

---

This record from the Alexandria database describes a relaxed La5Dy4Sc crystal. The functional is GGA-PBE.

Unit cell a=3.7026 b=3.7026 c=24.4524 alpha=90.00 beta=90.00 gamma=90.00
Space group P4/mmm (No. 123)
Symmetry-distinct sites (fractional):
1 La 0.0000 0.0000 0.0000 x1
2 La 0.0000 0.0000 0.2046 x2
3 La 0.0000 0.0000 0.4081 x2
4 Dy 0.5000 0.5000 0.1023 x2
5 Dy 0.5000 0.5000 0.3067 x2
6 Sc 0.5000 0.5000 0.5000 x1

Values from the calculation:
VASP energy ... -4.905 eV/atom
ΔE_f ... 0.03 eV per atom

---

This record from the Alexandria database describes a relaxed La5DySc crystal. The functional is GGA-PBE.

Unit cell a=5.8508 b=8.8889 c=12.1377 alpha=90.00 beta=90.00 gamma=90.00
Space group Immm (No. 71)
Symmetry-distinct sites (fractional):
1 La 0.0000 0.0000 0.0000 x2
2 La 0.0000 0.1842 0.5000 x4
3 La 0.0000 0.5000 0.2538 x4
4 Dy 0.0000 0.5000 0.0000 x2
5 Sc 0.0000 0.5000 0.5000 x2

Values from the calculation:
VASP energy ... -4.272 eV/atom
ΔE_f ... 0.81 eV per atom

---

This record from the Alexandria database describes a relaxed LaDy4Sc2 crystal. The functional is GGA-PBE.

Unit cell a=5.5777 b=5.5777 c=15.7297 alpha=90.00 beta=90.00 gamma=90.00
Space group I4/mmm (No. 139)
Symmetry-distinct sites (fractional):
1 La 0.0000 0.0000 0.0000 x2
2 Dy 0.0000 0.0000 0.1888 x4
3 Dy 0.0000 0.5000 0.0000 x4
4 Sc 0.0000 0.0000 0.3961 x4

Values from the calculation:
Excess energy over the best structure of this formula in the dataset ... 686 meV per atom
VASP energy ... -4.402 eV/atom
ΔE_f ... 0.74 eV per atom

---

This record from the Alexandria database describes a relaxed LaDy15Sc4 crystal. The functional is GGA-PBE.

Unit cell a=4.9468 b=4.9468 c=24.7146 alpha=90.00 beta=90.00 gamma=90.00
Space group P4/mmm (No. 123)
Symmetry-distinct sites (fractional):
1 La 0.0000 0.0000 0.0000 x1
2 Dy 0.0000 0.5000 0.1061 x4
3 Dy 0.0000 0.5000 0.3029 x4
4 Dy 0.0000 0.5000 0.5000 x2
5 Dy 0.5000 0.5000 0.0000 x1
6 Dy 0.5000 0.5000 0.2055 x2
7 Dy 0.5000 0.5000 0.4015 x2
8 Sc 0.0000 0.0000 0.2040 x2
9 Sc 0.0000 0.0000 0.4015 x2

Values from the calculation:
VASP energy ... -4.923 eV/atom
ΔE_f ... 0.04 eV per atom

---

This record from the Alexandria database describes a relaxed La2Dy5Sc2 crystal. The functional is GGA-PBE.

Unit cell a=14.9587 b=4.9612 c=7.9210 alpha=90.00 beta=108.17 gamma=90.00
Space group C2/m (No. 12)
Symmetry-distinct sites (fractional):
1 La 0.1075 0.0000 0.1648 x4
2 Dy 0.0000 0.0000 0.5000 x2
3 Dy 0.1650 0.5000 0.5045 x4
4 Dy 0.2187 0.0000 0.8339 x4
5 Sc 0.0568 0.5000 0.8339 x4

Values from the calculation:
VASP energy ... -5.005 eV/atom
ΔE_f ... 0.05 eV per atom

---

This record from the Alexandria database describes a relaxed La7Dy12Sc crystal. The functional is GGA-PBE.

Unit cell a=11.3462 b=11.3462 c=11.3462 alpha=90.00 beta=90.00 gamma=90.00
Space group Im-3m (No. 229)
Symmetry-distinct sites (fractional):
1 La 0.0000 0.0000 0.5000 x6
2 La 0.2500 0.2500 0.2500 x8
3 Dy 0.0000 0.2429 0.2429 x24
4 Sc 0.0000 0.0000 0.0000 x2

Values from the calculation:
VASP energy ... -4.155 eV/atom
ΔE_f ... 0.65 eV per atom

---

This record from the Alexandria database describes a relaxed LaDySc crystal. The functional is GGA-PBE.

Unit cell a=5.5776 b=5.5776 c=3.4356 alpha=90.00 beta=90.00 gamma=120.00
Space group P3m1 (No. 156)
Symmetry-distinct sites (fractional):
1 La 0.0000 0.0000 0.0000 x1
2 Dy 0.3333 0.6667 0.5006 x1
3 Sc 0.6667 0.3333 0.4990 x1

Values from the calculation:
Excess energy over the best structure of this formula in the dataset ... 37 meV per atom
VASP energy ... -5.198 eV/atom
ΔE_f ... 0.09 eV per atom

---

This record from the Alexandria database describes a relaxed LaDySc2 crystal. The functional is GGA-PBE.

Unit cell a=3.9131 b=3.9131 c=7.6342 alpha=90.00 beta=90.00 gamma=90.00
Space group P4/mmm (No. 123)
Symmetry-distinct sites (fractional):
1 La 0.0000 0.0000 0.0000 x1
2 Dy 0.0000 0.0000 0.5000 x1
3 Sc 0.5000 0.5000 0.2617 x2

Values from the calculation:
Excess energy over the best structure of this formula in the dataset ... 9 meV per atom
VASP energy ... -5.475 eV/atom
ΔE_f ... 0.07 eV per atom

---

This record from the Alexandria database describes a relaxed LaDySc crystal. The functional is GGA-PBE.

Unit cell a=3.7428 b=3.7428 c=13.4201 alpha=90.00 beta=90.00 gamma=90.00
Space group P4/nmm (No. 129, origin choice 2)
Symmetry-distinct sites (fractional):
1 La 0.2500 0.2500 0.0966 x2
2 Dy 0.2500 0.2500 0.7098 x2
3 Sc 0.2500 0.2500 0.4406 x2

Values from the calculation:
Excess energy over the best structure of this formula in the dataset ... 0 meV per atom
VASP energy ... -5.234 eV/atom
ΔE_f ... 0.05 eV per atom

---

This record from the Alexandria database describes a relaxed LaDy12Sc6 crystal. The functional is GGA-PBE.

Unit cell a=14.5043 b=14.5043 c=10.0086 alpha=90.00 beta=90.00 gamma=120.00
Space group R-3m (No. 166, hexagonal axes)
Symmetry-distinct sites (fractional):
1 La 0.0000 0.0000 0.0000 x3
2 Dy 0.0000 0.3872 0.5000 x18
3 Dy 0.0756 0.1512 0.3077 x18
4 Sc 0.0536 0.5268 0.2219 x18

Values from the calculation:
VASP energy ... -4.755 eV/atom
ΔE_f ... 0.41 eV per atom

---

This record from the Alexandria database describes a relaxed LaDy2Sc crystal. The functional is GGA-PBE.

Unit cell a=4.9472 b=4.9472 c=5.0619 alpha=90.00 beta=90.00 gamma=90.00
Space group P4/mmm (No. 123)
Symmetry-distinct sites (fractional):
1 La 0.0000 0.0000 0.0000 x1
2 Dy 0.0000 0.5000 0.5000 x2
3 Sc 0.5000 0.5000 0.0000 x1

Values from the calculation:
Excess energy over the best structure of this formula in the dataset ... 20 meV per atom
VASP energy ... -5.061 eV/atom
ΔE_f ... 0.05 eV per atom

---

This record from the Alexandria database describes a relaxed LaDy4Sc2 crystal. The functional is GGA-PBE.

Unit cell a=6.9919 b=7.7954 c=9.2174 alpha=104.76 beta=111.83 gamma=102.77
Space group P1 (No. 1)
Symmetry-distinct sites (fractional):
1 La 0.0000 0.0000 0.0000 x1
2 La 0.2137 0.7120 0.5705 x1
3 Dy 0.0698 0.5596 0.8616 x1
4 Dy 0.2848 0.2774 0.4314 x1
5 Dy 0.4311 0.4311 0.1500 x1
6 Dy 0.5026 0.0002 0.0087 x1
7 Dy 0.5688 0.5610 0.8570 x1
8 Dy 0.6426 0.1356 0.7144 x1
9 Dy 0.7840 0.2824 0.4306 x1
10 Dy 0.8555 0.8495 0.2905 x1
11 Sc 0.1407 0.1410 0.7148 x1
12 Sc 0.3572 0.8494 0.2869 x1
13 Sc 0.7129 0.7122 0.5711 x1
14 Sc 0.9292 0.4278 0.1455 x1

Values from the calculation:
Excess energy over the best structure of this formula in the dataset ... 0 meV per atom
VASP energy ... -5.088 eV/atom
ΔE_f ... 0.05 eV per atom

---

This record from the Alexandria database describes a relaxed La5Dy6Sc2 crystal. The functional is GGA-PBE.

Unit cell a=11.4387 b=20.6451 c=3.6278 alpha=90.00 beta=90.00 gamma=90.00
Space group Pbam (No. 55)
Symmetry-distinct sites (fractional):
1 La 0.0000 0.0000 0.0000 x2
2 La 0.0610 0.4253 0.0000 x4
3 La 0.1515 0.7248 0.0000 x4
4 Dy 0.0776 0.1558 0.0000 x4
5 Dy 0.1688 0.8834 0.5000 x4
6 Dy 0.2269 0.5571 0.5000 x4
7 Sc 0.1095 0.2859 0.5000 x4

Values from the calculation:
VASP energy ... -4.929 eV/atom
ΔE_f ... 0.06 eV per atom

---

Number 1: V 33.0 Å³ per atom. Number 2: V 33.8 Å³ per atom. Number 3: V 30.4 Å³ per atom. Number 4: V 30.8 Å³ per atom. Number 5: V 34.9 Å³ per atom. Number 6: V 37.4 Å³ per atom. Number 7: V 33.3 Å³ per atom. Number 8: V 33.5 Å³ per atom. Number 9: V 45.1 Å³ per atom. Number 10: V 35.0 Å³ per atom. Number 11: V 30.2 Å³ per atom. Number 12: V 31.0 Å³ per atom. Number 13: V 36.5 Å³ per atom. Number 14: V 30.9 Å³ per atom. Number 15: V 29.2 Å³ per atom. Number 16: V 31.3 Å³ per atom. Number 17: V 32.0 Å³ per atom. Number 18: V 31.0 Å³ per atom. Number 19: V 30.2 Å³ per atom. Number 20: V 33.0 Å³ per atom.